Entry 1:
The following is a DFT calculation (PBE-GGA) of a relaxed YMo6 crystal.

a = 5.9987 Å, b = 5.9987 Å, c = 5.9987 Å
α = 109.47°, β = 109.47°, γ = 109.47°
Last column: nearest neighbours and their distance in Å.
Fractional coordinates of all 7 atoms:
1 Mo 0.5000 0.7500 0.2500  4 Mo 2.45
2 Mo 0.2500 0.7500 0.5000  4 Mo 2.45
3 Mo 0.7500 0.2500 0.5000  4 Mo 2.45
4 Y 0.0000 0.0000 0.0000  24 Mo 3.87
5 Mo 0.7500 0.5000 0.2500  4 Mo 2.45
6 Mo 0.5000 0.2500 0.7500  4 Mo 2.45
7 Mo 0.2500 0.5000 0.7500  4 Mo 2.45

Properties
Formation energy = 1.507 eV per atom
Theoretical density = 6.6 Mg/m³

Entry 2:
The following is a DFT calculation (PBE-GGA) of a relaxed Y4Mo crystal.

a = 6.5821 Å, b = 6.5821 Å, c = 6.5821 Å
α = 94.20°, β = 94.20°, γ = 148.60°
Last column: nearest neighbours and their distance in Å.
Fractional coordinates of all 5 atoms:
1 Y 0.2396 0.4238 0.6633  2 Mo 3.01
2 Y 0.7604 0.5762 0.3367  2 Mo 3.01
3 Y 0.4238 0.7604 0.1842  2 Mo 3.01
4 Y 0.5762 0.2396 0.8158  2 Mo 3.01
5 Mo 0.0000 0.0000 0.0000  8 Y 3.01

Properties
Formation energy = 0.203 eV per atom
Energy relative to the lowest polymorph listed for this composition = 0.0 meV per atom
Theoretical density = 5.2 Mg/m³

Entry 3:
The following is a DFT calculation (PBE-GGA) of a relaxed Y2Mo3 crystal.

a = 11.9863 Å, b = 11.9863 Å, c = 11.9863 Å
α = 15.21°, β = 15.21°, γ = 15.21°
Last column: nearest neighbours and their distance in Å.
Fractional coordinates of all 5 atoms:
1 Y 0.5965 0.5965 0.5965  6 Mo 3.09-3.12, 6 Y 3.17
2 Y 0.4035 0.4035 0.4035  6 Mo 3.09-3.12, 6 Y 3.17
3 Mo 0.0000 0.0000 0.0000  6 Y 3.09, 6 Mo 3.17
4 Mo 0.1919 0.1919 0.1919  3 Mo 2.57
5 Mo 0.8081 0.8081 0.8081  3 Mo 2.57

Properties
Formation energy = 0.574 eV per atom
Energy relative to the lowest polymorph listed for this composition = 302.1 meV per atom
Theoretical density = 7.5 Mg/m³

Entry 4:
The following is a DFT calculation (PBE-GGA) of a relaxed Y4Mo crystal.

a = 5.4315 Å, b = 5.4315 Å, c = 5.4315 Å
α = 90.00°, β = 90.00°, γ = 90.00°
Last column: nearest neighbours and their distance in Å.
Fractional coordinates of all 5 atoms:
1 Y 0.0000 0.0000 0.0000  12 Y 3.84
2 Y 0.0000 0.5000 0.5000  2 Mo 2.72
3 Mo 0.5000 0.5000 0.5000  6 Y 2.72
4 Y 0.5000 0.0000 0.5000  2 Mo 2.72
5 Y 0.5000 0.5000 0.0000  2 Mo 2.72

Properties
Formation energy = 0.383 eV per atom
Energy relative to the lowest polymorph listed for this composition = 180.2 meV per atom
Theoretical density = 4.7 Mg/m³

Entry 5:
The following is a DFT calculation (PBE-GGA) of a relaxed Y3Mo5 crystal.

a = 5.8526 Å, b = 5.8526 Å, c = 4.9304 Å
α = 90.00°, β = 90.00°, γ = 107.66°
Last column: nearest neighbours and their distance in Å.
Fractional coordinates of all 8 atoms:
1 Y 0.7291 0.2709 0.5000  8 Mo 2.85-3.08
2 Mo 0.8181 0.8181 0.5000  3 Mo 2.51-2.77
3 Y 0.2709 0.7291 0.5000  8 Mo 2.85-3.08
4 Y 0.5000 0.5000 0.0000  4 Mo 2.93
5 Mo 0.1819 0.1819 0.5000  3 Mo 2.51-2.77
6 Mo 0.5000 0.0000 0.0000  2 Mo 2.93, 6 Y 2.93-3.02
7 Mo 0.0000 0.5000 0.0000  2 Mo 2.93, 6 Y 2.93-3.02
8 Mo 0.0000 0.0000 0.0000  8 Mo 2.77-2.93

Properties
Formation energy = 0.501 eV per atom
Energy relative to the lowest polymorph listed for this composition = 0.0 meV per atom
Theoretical density = 7.7 Mg/m³

Entry 6:
The following is a DFT calculation (PBE-GGA) of a relaxed Y3Mo2 crystal.

a = 12.2647 Å, b = 12.2647 Å, c = 12.2647 Å
α = 15.92°, β = 15.92°, γ = 15.92°
Last column: nearest neighbours and their distance in Å.
Fractional coordinates of all 5 atoms:
1 Mo 0.3956 0.3956 0.3956  6 Y 2.92-2.99
2 Y 0.7886 0.7886 0.7886  3 Mo 2.92
3 Y 0.0000 0.0000 0.0000  6 Mo 2.99
4 Mo 0.6044 0.6044 0.6044  6 Y 2.92-2.99
5 Y 0.2114 0.2114 0.2114  3 Mo 2.92

Properties
Formation energy = 0.631 eV per atom
Energy relative to the lowest polymorph listed for this composition = 409.6 meV per atom
Theoretical density = 6.3 Mg/m³

Entry 7:
The following is a DFT calculation (PBE-GGA) of a relaxed Y4Mo3 crystal.

a = 5.4268 Å, b = 5.4268 Å, c = 6.3646 Å
α = 90.00°, β = 90.00°, γ = 120.00°
Last column: nearest neighbours and their distance in Å.
Fractional coordinates of all 7 atoms:
1 Y 0.6667 0.3333 0.5000  3 Y 3.13
2 Mo 0.0000 0.5000 0.0000  4 Mo 2.71
3 Y 0.3333 0.6667 0.5000  3 Y 3.13
4 Y 0.0000 0.0000 0.7511  6 Mo 3.14, 8 Y 3.17-3.52
5 Mo 0.5000 0.0000 0.0000  4 Mo 2.71
6 Y 0.0000 0.0000 0.2489  6 Mo 3.14, 8 Y 3.17-3.52
7 Mo 0.5000 0.5000 0.0000  4 Mo 2.71

Properties
Formation energy = 0.278 eV per atom
Energy relative to the lowest polymorph listed for this composition = 49.1 meV per atom
Theoretical density = 6.6 Mg/m³

Entry 8:
The following is a DFT calculation (PBE-GGA) of a relaxed YZn2Mo crystal.

a = 4.2606 Å, b = 4.2606 Å, c = 9.9047 Å
α = 77.58°, β = 77.58°, γ = 90.00°
Last column: nearest neighbours and their distance in Å.
Fractional coordinates of all 8 atoms:
1 Zn 0.0214 0.6250 0.2500  2 Zn 2.47, 2 Mo 2.66
2 Mo 0.0000 0.0000 0.0000  4 Zn 2.66
3 Zn 0.3750 0.2714 0.7500  2 Zn 2.47, 2 Mo 2.66
4 Zn 0.7286 0.1250 0.2500  2 Zn 2.47, 2 Mo 2.66
5 Y 0.5000 0.5000 0.0000  4 Zn 2.99, 4 Mo 3.01
6 Zn 0.8750 0.9786 0.7500  2 Zn 2.47, 2 Mo 2.66
7 Y 0.2500 0.7500 0.5000  4 Zn 2.99, 4 Mo 3.01
8 Mo 0.7500 0.2500 0.5000  4 Zn 2.66

Properties
Formation energy = 0.504 eV per atom
Energy relative to the lowest polymorph listed for this composition = 484.4 meV per atom
Theoretical density = 6.1 Mg/m³

Entry 9:
The following is a DFT calculation (PBE-GGA) of a relaxed YZnMo2 crystal.

a = 3.2880 Å, b = 3.2867 Å, c = 7.6597 Å
α = 64.60°, β = 90.00°, γ = 90.00°
Last column: nearest neighbours and their distance in Å.
Fractional coordinates of all 4 atoms:
1 Mo 0.0000 0.9890 0.0112  4 Mo 2.67, 4 Zn 2.77
2 Y 0.0000 0.5055 0.4942  5 Mo 3.08-3.34, 4 Zn 3.11, 4 Y 3.29
3 Mo 0.5000 0.2988 0.2011  4 Mo 2.67, 1 Zn 2.82
4 Zn 0.5000 0.7067 0.7935  5 Mo 2.77-2.82

Properties
Formation energy = 0.034 eV per atom
Theoretical density = 7.7 Mg/m³

Entry 10:
The following is a DFT calculation (PBE-GGA) of a relaxed YZnMo2 crystal.

a = 5.4709 Å, b = 5.4709 Å, c = 5.4709 Å
α = 137.44°, β = 137.44°, γ = 61.76°
Last column: nearest neighbours and their distance in Å.
Fractional coordinates of all 4 atoms:
1 Zn 0.7500 0.2500 0.5000  4 Y 2.81, 8 Mo 3.07
2 Mo 0.0000 0.0000 0.0000  4 Mo 2.81, 4 Y 3.07, 4 Zn 3.07
3 Y 0.2500 0.7500 0.5000  4 Zn 2.81, 8 Mo 3.07
4 Mo 0.5000 0.5000 0.0000  4 Mo 2.81, 4 Zn 3.07, 4 Y 3.07

Properties
Formation energy = 0.379 eV per atom
Theoretical density = 7.8 Mg/m³

Entry 11:
The following is a DFT calculation (PBE-GGA) of a relaxed YZn2Mo crystal.

a = 4.9952 Å, b = 4.9952 Å, c = 3.0038 Å
α = 90.00°, β = 90.00°, γ = 107.51°
Last column: nearest neighbours and their distance in Å.
Fractional coordinates of all 4 atoms:
1 Zn 0.0000 0.0000 0.0000  4 Y 2.91, 4 Mo 2.91, 4 Zn 2.95-3.00
2 Y 0.0000 0.5000 0.5000  8 Zn 2.91, 2 Mo 2.95, 2 Y 3.00
3 Zn 0.5000 0.5000 0.0000  4 Mo 2.91, 4 Y 2.91, 4 Zn 2.95-3.00
4 Mo 0.5000 0.0000 0.5000  8 Zn 2.91, 2 Y 2.95, 2 Mo 3.00

Properties
Formation energy = 0.115 eV per atom
Energy relative to the lowest polymorph listed for this composition = 95.9 meV per atom
Theoretical density = 7.3 Mg/m³

Entry 12:
The following is a DFT calculation (PBE-GGA) of a relaxed YZnMo2 crystal.

a = 4.9797 Å, b = 2.9822 Å, c = 5.0524 Å
α = 84.98°, β = 90.00°, γ = 90.00°
Last column: nearest neighbours and their distance in Å.
Fractional coordinates of all 4 atoms:
1 Mo 0.0000 0.5936 0.4885  1 Mo 2.51
2 Zn 0.5000 0.7500 0.7500  4 Y 2.82-3.04, 4 Mo 2.88, 2 Zn 2.98
3 Y 0.5000 0.2500 0.2500  4 Zn 2.82-3.04, 2 Y 2.98, 4 Mo 2.99
4 Mo 0.0000 0.9064 0.0115  1 Mo 2.51

Properties
Formation energy = 0.362 eV per atom
Theoretical density = 7.7 Mg/m³